No. 1
A relaxed Dy2TlSn crystal, computed with PBE.

Results
* energy of formation from the pure elements: -0.39 eV/atom
* raw total energy: -68.594 eV per cell
* M_tot: 0.00 μB/f.u.
* mass density: 9.1 g/cm3

Unit cell a=3.6412 b=8.8057 c=14.7495 alpha=90.00 beta=90.00 gamma=90.00
Closest atoms and distances in Å follow each position.
Fractional positions:
Dy  0.7500  0.3004  0.5022  3 Sn 3.14-3.16, 3 Tl 3.20-3.34
Dy  0.2500  0.6996  0.4978  3 Sn 3.14-3.16, 3 Tl 3.20-3.34
Dy  0.7500  0.8004  0.9978  3 Sn 3.14-3.16, 3 Tl 3.20-3.34
Dy  0.2500  0.1996  0.0022  3 Sn 3.14-3.16, 3 Tl 3.20-3.34
Dy  0.7500  0.2071  0.7597  4 Sn 3.16-3.25, 2 Tl 3.17-3.19
Dy  0.2500  0.2929  0.2597  4 Sn 3.16-3.25, 2 Tl 3.17-3.19
Dy  0.7500  0.7071  0.7403  4 Sn 3.16-3.25, 2 Tl 3.17-3.19
Dy  0.2500  0.7929  0.2403  4 Sn 3.16-3.25, 2 Tl 3.17-3.19
Tl  0.2500  0.5278  0.0948  5 Dy 3.17-3.34, 2 Tl 3.37
Tl  0.2500  0.0278  0.4052  5 Dy 3.17-3.34, 2 Tl 3.37
Tl  0.7500  0.4722  0.9052  5 Dy 3.17-3.34, 2 Tl 3.37
Tl  0.7500  0.9722  0.5948  5 Dy 3.17-3.34, 2 Tl 3.37
Sn  0.7500  0.0462  0.1519  7 Dy 3.14-3.25
Sn  0.2500  0.9538  0.8481  7 Dy 3.14-3.25
Sn  0.7500  0.5462  0.3481  7 Dy 3.14-3.25
Sn  0.2500  0.4538  0.6519  7 Dy 3.14-3.25


No. 2
A relaxed ZrAl2IrRh crystal, computed with PBE.

Results
* energy of formation from the pure elements: 0.26 eV/atom
* raw total energy: -30.952 eV per cell
* M_tot: 1.08 μB/f.u.
* mass density: 7.1 g/cm3

Unit cell a=4.5391 b=4.9766 c=4.5391 alpha=90.00 beta=90.00 gamma=90.00
Closest atoms and distances in Å follow each position.
Fractional positions:
Ir  0.0000  0.0000  0.0000  4 Al 2.27, 2 Rh 2.49
Rh  0.0000  0.5000  0.0000  2 Ir 2.49
Al  0.0000  0.0000  0.5000  2 Ir 2.27
Al  0.5000  0.0000  0.0000  2 Ir 2.27
Zr  0.5000  0.5000  0.5000  4 Rh 3.21, 8 Al 3.37


Question: Which of these has the highest M_tot?
Answer: ZrAl2IrRh